Entry 1:
The following is a PBE-GGA calculation of a relaxed Ac2AlCd4Hg3 crystal, from the Alexandria database.

Computed properties:
The size of the total moment is 0.000 μB per cell. The value obtained for the formation energy is -0.27 eV/atom.

Unit cell a=4.6834 b=4.6834 c=12.2016 alpha=90.00 beta=90.00 gamma=90.00
Space group P-4m2 (No. 115)
Symmetry-distinct sites (fractional):
Ac  0.0000  0.5000  0.2415
Al  0.5000  0.5000  0.0000
Cd  0.0000  0.0000  0.5000
Cd  0.0000  0.5000  0.8717
Cd  0.5000  0.5000  0.5000
Hg  0.0000  0.0000  0.0000
Hg  0.0000  0.5000  0.6436

Entry 2:
The following is a PBE-GGA calculation of a relaxed Hf2Be2AlFe5 crystal, from the Alexandria database.

Computed properties:
The size of the total moment is 12.528 μB per cell. The value obtained for the formation energy is -0.28 eV/atom.

Unit cell a=8.6972 b=8.6972 c=3.2965 alpha=90.00 beta=90.00 gamma=90.00
Space group P4/mbm (No. 127)
Symmetry-distinct sites (fractional):
Hf  0.1784  0.3216  0.0000
Be  0.1168  0.6168  0.0000
Al  0.0000  0.0000  0.0000
Fe  0.0000  0.5000  0.5000
Fe  0.0652  0.7834  0.5000

Entry 3:
The following is a PBE-GGA calculation of a relaxed HfZrMo2 crystal, from the Alexandria database.

Computed properties:
The size of the total moment is 0.000 μB per cell. The calculation puts the relative energy among the computed polymorphs at 0.614 eV per atom. The value obtained for the formation energy is 0.64 eV/atom.

Unit cell a=7.3889 b=7.3889 c=5.7379 alpha=90.00 beta=90.00 gamma=90.00
Space group I-42d (No. 122)
Symmetry-distinct sites (fractional):
Hf  0.0000  0.0000  0.0000
Zr  0.0000  0.0000  0.5000
Mo  0.2500  0.2504  0.3750

Entry 4:
The following is a PBE-GGA calculation of a relaxed RbMgSn2Hg2 crystal, from the Alexandria database.

Computed properties:
The size of the total moment is 0.000 μB per cell. The value obtained for the formation energy is -0.11 eV/atom.

Unit cell a=5.0329 b=5.0329 c=8.4914 alpha=90.00 beta=90.00 gamma=120.00
Space group P-3m1 (No. 164)
Symmetry-distinct sites (fractional):
Rb  0.0000  0.0000  0.0000
Mg  0.0000  0.0000  0.5000
Sn  0.3333  0.6667  0.3090
Hg  0.3333  0.6667  0.6841